# 1
Computed, not measured: a relaxed BaAlSe crystal at the PBE level of DFT.

abc: 5.3145 5.3145 5.3145
angles: 60.00 60.00 60.00
Last column: nearest neighbours and their distance in Å.
Element x y z (fractional)
1 Ba 0.5000 0.5000 0.5000  4 Se 3.25
2 Se 0.7500 0.7500 0.7500  4 Ba 3.25, 4 Al 3.25
3 Al 0.0000 0.0000 0.0000  4 Se 3.25

calculated density: 3.8 g cm⁻³
offset from the most stable computed form: 18.9 kJ/mol of atoms
ΔE_f (raw): -0.545 eV per atom

=====

# 2
Computed, not measured: a relaxed BaAl2Se crystal at the PBE level of DFT.

abc: 5.8823 5.8823 5.5865
angles: 70.31 70.31 36.01
Last column: nearest neighbours and their distance in Å.
Element x y z (fractional)
1 Ba 0.7500 0.7500 0.7500  4 Se 3.33, 8 Al 3.55-3.61, 2 Ba 3.64
2 Se 0.2500 0.2500 0.2500  4 Al 2.87
3 Al 0.9623 0.9623 0.0963  2 Al 2.83, 2 Se 2.87
4 Al 0.5377 0.5377 0.4037  2 Al 2.83, 2 Se 2.87

calculated density: 4.2 g cm⁻³
ΔE_f (raw): -0.369 eV per atom

=====

# 3
Computed, not measured: a relaxed BaAl2Se crystal at the PBE level of DFT.

abc: 5.3220 5.3220 5.3220
angles: 60.00 60.00 60.00
Last column: nearest neighbours and their distance in Å.
Element x y z (fractional)
1 Ba 0.5000 0.5000 0.5000  4 Se 3.26, 4 Al 3.26
2 Se 0.7500 0.7500 0.7500  4 Al 3.26, 4 Ba 3.26
3 Al 0.2500 0.2500 0.2500  4 Ba 3.26, 4 Al 3.26
4 Al 0.0000 0.0000 0.0000  4 Se 3.26, 4 Al 3.26

calculated density: 4.2 g cm⁻³
ΔE_f (raw): -0.189 eV per atom

=====

# 4
Computed, not measured: a relaxed Ba2AlSe crystal at the PBE level of DFT.

abc: 5.6942 5.6942 5.6942
angles: 60.00 60.00 60.00
Last column: nearest neighbours and their distance in Å.
Element x y z (fractional)
1 Se 0.7500 0.7500 0.7500  4 Ba 3.49, 4 Al 3.49
2 Ba 0.2500 0.2500 0.2500  4 Ba 3.49, 4 Al 3.49
3 Ba 0.0000 0.0000 0.0000  4 Ba 3.49, 4 Se 3.49
4 Al 0.5000 0.5000 0.5000  4 Ba 3.49, 4 Se 3.49

calculated density: 4.8 g cm⁻³
offset from the most stable computed form: 60.0 kJ/mol of atoms
ΔE_f (raw): -0.212 eV per atom

=====

# 5
Computed, not measured: a relaxed BaAl2Se crystal at the PBE level of DFT.

abc: 5.7752 5.7752 5.7752
angles: 131.03 131.03 71.77
Last column: nearest neighbours and their distance in Å.
Element x y z (fractional)
1 Al 0.2500 0.7500 0.5000  4 Ba 3.35, 4 Al 3.35, 4 Se 3.39
2 Se 0.7500 0.2500 0.5000  4 Ba 3.35, 8 Al 3.35-3.39
3 Al 0.0000 0.0000 0.0000  4 Al 3.35, 4 Se 3.35, 4 Ba 3.39
4 Ba 0.5000 0.5000 0.0000  4 Se 3.35, 8 Al 3.35-3.39

calculated density: 4.2 g cm⁻³
ΔE_f (raw): -0.240 eV per atom

=====

# 6
Computed, not measured: a relaxed BaAl3Se crystal at the PBE level of DFT.

abc: 5.2884 5.2884 5.2884
angles: 90.00 90.00 90.00
Last column: nearest neighbours and their distance in Å.
Element x y z (fractional)
1 Al 0.0000 0.0000 0.5000  2 Se 2.64
2 Ba 0.5000 0.5000 0.5000  12 Al 3.74
3 Al 0.5000 0.0000 0.0000  2 Se 2.64
4 Se 0.0000 0.0000 0.0000  6 Al 2.64
5 Al 0.0000 0.5000 0.0000  2 Se 2.64

calculated density: 3.3 g cm⁻³
offset from the most stable computed form: 0.0 kJ/mol of atoms
ΔE_f (raw): 0.237 eV per atom